1.
The following is a DFT calculation (GGA-PBE) of crystalline Sc3Al2Cd at its relaxed geometry.

Calculated volume = 20.229 A^3/atom
E = -4.9689 eV/atom
Space group = P4/mmm (123)
Size of the total moment = 0.00 μB per atom

a = 3.280 Å, b = 3.280 Å, c = 11.279 Å
α = 90.00°, β = 90.00°, γ = 90.00°
Element x y z (fractional)
1 Sc 0.000 0.000 0.000
2 Sc 0.000 0.000 0.320
3 Sc 0.000 0.000 0.680
4 Al 0.500 0.500 0.162
5 Al 0.500 0.500 0.838
6 Cd 0.500 0.500 0.500

---

2.
The following is a DFT calculation (GGA-PBE) of crystalline Sc3AlCd at its relaxed geometry.

Calculated volume = 23.924 A^3/atom
E = -4.7520 eV/atom
Space group = P6_3/mmc (194)
Size of the total moment = 0.00 μB per atom

a = 7.451 Å, b = 7.451 Å, c = 4.976 Å
α = 90.00°, β = 90.00°, γ = 120.00°
Element x y z (fractional)
1 Sc 0.194 0.388 0.250
2 Sc 0.194 0.806 0.250
3 Sc 0.388 0.194 0.750
4 Sc 0.612 0.806 0.250
5 Sc 0.806 0.194 0.750
6 Sc 0.806 0.612 0.750
7 Al 0.000 0.000 0.000
8 Al 0.000 0.000 0.500
9 Cd 0.333 0.667 0.750
10 Cd 0.667 0.333 0.250

---

3.
The following is a DFT calculation (GGA-PBE) of crystalline Sc2AlCd at its relaxed geometry.

Calculated volume = 22.118 A^3/atom
E = -4.4945 eV/atom
Space group = P2/m (10)
Size of the total moment = 0.00 μB per atom

a = 5.079 Å, b = 3.289 Å, c = 5.710 Å
α = 90.00°, β = 111.96°, γ = 90.00°
Element x y z (fractional)
1 Sc 0.000 0.000 0.000
2 Sc 0.000 0.500 0.500
3 Al 0.500 0.000 0.500
4 Cd 0.500 0.500 0.000